Record 1
Crystalline U2ReC at its relaxed geometry, computed with PBE-GGA.

Values from the calculation:
E_tot	-11.069	eV per atom
volume	15.6	Å³/atom

The structure in extended XYZ format:
```
8
Lattice="-1.872 0.390 2.274 -1.958 -4.316 -2.813 4.383 -4.887 4.446" Properties=species:S:1:pos:R:3 pbc="T T T"
U 0.284 -5.916 1.248
U 0.269 -2.898 2.659
U -1.327 -1.118 1.040
U 1.880 -7.695 2.866
Re -2.118 -4.271 0.928
Re 2.671 -4.542 2.978
C -0.388 -3.335 0.252
C 0.941 -5.478 3.654
```

=====

Record 2
Crystalline AcPrDyCd at its relaxed geometry, computed with PBE-GGA.

Values from the calculation:
E_tot	-3.735	eV per atom
volume	33.1	Å³/atom

The structure in extended XYZ format:
```
4
Lattice="3.823 0.000 0.000 0.000 3.823 0.000 0.000 0.000 9.055" Properties=species:S:1:pos:R:3 pbc="T T T"
Ac 0.000 0.000 0.725
Pr 1.911 1.911 7.092
Dy 1.911 1.911 3.293
Cd 0.000 0.000 5.051
```